No. 1
The following is a DFT calculation (PBE-GGA) of crystalline Th6GaSe5 at its relaxed geometry.

Output
raw formation energy	-1375.3	meV/atom
DOS(E_F)	0.69	states/eV/atom
crystal system	monoclinic

Cell lengths 7.320, 7.351, 7.331 Å; angles 59.91, 80.43, 70.63 degrees
Positions (direct):
Se (0.500, 0.166, 0.667)
Se (0.000, 0.666, 0.668)
Se (0.500, 0.834, 0.333)
Se (0.500, 0.500, 0.000)
Se (0.000, 0.334, 0.332)
Th (0.751, 0.753, 0.000)
Th (0.247, 0.918, 0.669)
Th (0.249, 0.247, 0.000)
Th (0.247, 0.587, 0.331)
Th (0.753, 0.082, 0.331)
Th (0.753, 0.413, 0.669)
Ga (0.000, 0.000, 0.000)

No. 2
The following is a DFT calculation (PBE-GGA) of crystalline TaCoPt at its relaxed geometry.

Output
E_form	-0.28	eV/atom
DOS(E_F)	0.76	states/eV/atom
crystal system	tetragonal

Cell lengths 5.785, 5.785, 2.858 Å; angles 75.70, 75.70, 28.60 degrees
Each line ends with the local moment (μB).
Positions (direct):
Pt (0.339, 0.339, 0.661)  0.07
Ta (0.656, 0.656, 0.344)  -0.05
Co (0.006, 0.006, 0.994)  0.73

No. 3
The following is a DFT calculation (PBE-GGA) of crystalline RuS at its relaxed geometry.

Output
raw formation energy	-139.1	meV/atom
DOS(E_F)	0.57	states/eV/atom
crystal system	monoclinic

Cell lengths 6.380, 3.456, 6.277 Å; angles 90.00, 101.54, 90.00 degrees
Positions (direct):
Ru (0.331, 0.000, 0.480)
Ru (0.780, 0.500, 0.199)
Ru (0.331, 0.500, 0.980)
Ru (0.780, 0.000, 0.699)
S (0.161, 0.500, 0.279)
S (0.648, 0.500, 0.847)
S (0.648, 0.000, 0.347)
S (0.161, 0.000, 0.779)

No. 4
The following is a DFT calculation (PBE-GGA) of crystalline SrBe2Se at its relaxed geometry.

Output
raw formation energy	-181.4	meV/atom
DOS(E_F)	0.37	states/eV/atom
crystal system	orthorhombic

Cell lengths 4.448, 4.471, 4.316 Å; angles 90.02, 90.00, 90.00 degrees
Positions (direct):
Se (0.500, 0.250, 0.250)
Sr (0.500, 0.750, 0.750)
Be (0.000, 0.250, 0.000)
Be (0.000, 0.250, 0.500)

No. 5
The following is a DFT calculation (PBE-GGA) of crystalline Sr2LiSiO4F at its relaxed geometry.

Output
raw formation energy	-3008.7	meV/atom
DOS(E_F)	0.00	states/eV/atom
crystal system	monoclinic

Cell lengths 5.472, 6.638, 7.003 Å; angles 67.85, 90.00, 90.00 degrees
Positions (direct):
F (0.000, 0.000, 0.000)
F (0.500, 0.000, 0.000)
Si (0.750, 0.654, 0.665)
Si (0.250, 0.346, 0.335)
Li (0.250, 0.850, 0.882)
Li (0.750, 0.150, 0.118)
O (0.250, 0.341, 0.570)
O (0.492, 0.223, 0.290)
O (0.750, 0.405, 0.842)
O (0.008, 0.223, 0.290)
O (0.250, 0.595, 0.158)
O (0.750, 0.659, 0.430)
O (0.508, 0.777, 0.710)
O (0.992, 0.777, 0.710)
Sr (0.750, 0.638, 0.101)
Sr (0.250, 0.839, 0.376)
Sr (0.750, 0.161, 0.624)
Sr (0.250, 0.362, 0.899)

No. 6
The following is a DFT calculation (PBE-GGA) of crystalline ZnHg2Au at its relaxed geometry.

Output
E_form	0.12	eV/atom
DOS(E_F)	0.37	states/eV/atom
crystal system	tetragonal

Cell lengths 5.238, 5.238, 5.238 Å; angles 130.89, 130.89, 71.98 degrees
Positions (direct):
Zn (0.500, 0.500, 0.000)
Hg (0.000, 0.000, 0.000)
Hg (0.250, 0.750, 0.500)
Au (0.750, 0.250, 0.500)

No. 7
The following is a DFT calculation (PBE-GGA) of crystalline BaMg2W at its relaxed geometry.

Output
E_form	0.81	eV/atom
DOS(E_F)	1.03	states/eV/atom
crystal system	monoclinic

Cell lengths 5.226, 5.226, 6.886 Å; angles 85.13, 85.13, 34.00 degrees
Positions (direct):
W (0.490, 0.490, 0.584)
Ba (0.250, 0.250, 0.269)
Mg (0.007, 0.007, 0.928)
Mg (0.753, 0.753, 0.718)

No. 8
The following is a DFT calculation (PBE-GGA) of crystalline LiScFe2 at its relaxed geometry.

Output
E_form	0.25	eV/atom
DOS(E_F)	1.45	states/eV/atom
crystal system	tetragonal

Cell lengths 3.171, 3.171, 5.673 Å; angles 90.00, 90.00, 90.00 degrees
Each line ends with the local moment (μB).
Positions (direct):
Li (0.500, 0.500, 0.250)  -0.06
Sc (0.500, 0.500, 0.750)  -0.34
Fe (0.000, 0.000, 0.043)  2.23
Fe (0.000, 0.000, 0.457)  2.23

No. 9
The following is a DFT calculation (PBE-GGA) of crystalline ScCrSb3 at its relaxed geometry.

Output
raw formation energy	322.2	meV/atom
DOS(E_F)	1.15	states/eV/atom
crystal system	cubic

Cell lengths 5.111, 5.111, 5.111 Å; angles 90.00, 90.00, 90.00 degrees
Each line ends with the local moment (μB).
Positions (direct):
Sc (0.500, 0.500, 0.500)  0.44
Sb (0.000, 0.500, 0.000)  -0.01
Sb (0.500, 0.000, 0.000)  -0.09
Sb (0.000, 0.000, 0.500)  -0.02
Cr (0.000, 0.000, 0.000)  2.40

No. 10
The following is a DFT calculation (PBE-GGA) of crystalline Pm3NdAg4 at its relaxed geometry.

Output
E_form	-0.27	eV/atom
DOS(E_F)	0.72	states/eV/atom
crystal system	tetragonal

Cell lengths 3.736, 3.736, 14.955 Å; angles 90.00, 90.00, 90.00 degrees
Positions (direct):
Pm (0.500, 0.500, 0.500)
Pm (0.500, 0.500, 0.749)
Pm (0.500, 0.500, 0.251)
Ag (0.000, 0.000, 0.375)
Ag (0.000, 0.000, 0.128)
Ag (0.000, 0.000, 0.872)
Ag (0.000, 0.000, 0.625)
Nd (0.500, 0.500, 0.000)

No. 11
The following is a DFT calculation (PBE-GGA) of crystalline LiTc2Os at its relaxed geometry.

Output
E_form	0.21	eV/atom
DOS(E_F)	0.80	states/eV/atom
crystal system	orthorhombic

Cell lengths 4.992, 4.992, 4.992 Å; angles 144.61, 130.00, 62.74 degrees
Positions (direct):
Li (0.250, 0.750, 0.500)
Tc (0.500, 0.500, 0.000)
Tc (0.000, 0.000, 0.000)
Os (0.750, 0.250, 0.500)

No. 12
The following is a DFT calculation (PBE-GGA) of crystalline Nd2I3Br2 at its relaxed geometry.

Output
raw formation energy	-1311.2	meV/atom
DOS(E_F)	0.25	states/eV/atom
crystal system	monoclinic

Cell lengths 4.324, 4.324, 16.435 Å; angles 90.00, 97.59, 90.00 degrees
Positions (direct):
Nd (0.894, 0.000, 0.805)
Nd (0.106, 0.000, 0.195)
I (0.813, 0.000, 0.628)
I (0.187, 0.000, 0.372)
I (0.000, 0.000, 0.000)
Br (0.598, 0.500, 0.181)
Br (0.402, 0.500, 0.819)

No. 13
The following is a DFT calculation (PBE-GGA) of crystalline Pr2ThZn at its relaxed geometry.

Output
E_form	-0.13	eV/atom
DOS(E_F)	0.99	states/eV/atom
crystal system	tetragonal

Cell lengths 3.668, 3.668, 8.808 Å; angles 90.00, 90.00, 90.00 degrees
Positions (direct):
Pr (0.000, 0.000, 0.218)
Pr (0.000, 0.000, 0.782)
Th (0.500, 0.500, 0.500)
Zn (0.500, 0.500, 0.000)

No. 14
The following is a DFT calculation (PBE-GGA) of crystalline PmCdI6 at its relaxed geometry.

Output
raw formation energy	-764.1	meV/atom
DOS(E_F)	1.78	states/eV/atom
crystal system	triclinic

Cell lengths 7.598, 7.593, 8.038 Å; angles 61.38, 61.89, 60.07 degrees
Positions (direct):
I (0.069, 0.423, 0.751)
I (0.245, 0.932, 0.246)
I (0.578, 0.245, 0.248)
I (0.931, 0.577, 0.249)
I (0.422, 0.755, 0.752)
I (0.755, 0.068, 0.754)
Cd (0.000, 0.000, 0.000)
Pm (0.500, 0.500, 0.500)

No. 15
The following is a DFT calculation (PBE-GGA) of crystalline CeNd2DyY at its relaxed geometry.

Output
E_form	0.28	eV/atom
DOS(E_F)	2.28	states/eV/atom
crystal system	monoclinic

Cell lengths 8.210, 6.742, 6.131 Å; angles 90.07, 90.00, 90.00 degrees
Positions (direct):
Y (0.356, 0.000, 0.750)
Y (0.644, 0.000, 0.250)
Nd (0.307, 0.264, 0.250)
Nd (0.693, 0.264, 0.750)
Nd (0.693, 0.736, 0.750)
Nd (0.307, 0.736, 0.250)
Ce (0.000, 0.000, 0.500)
Ce (0.000, 0.000, 0.000)
Dy (0.877, 0.500, 0.250)
Dy (0.123, 0.500, 0.750)

No. 16
The following is a DFT calculation (PBE-GGA) of crystalline Zr2VW2 at its relaxed geometry.

Output
E_form	0.83	eV/atom
DOS(E_F)	0.98	states/eV/atom
crystal system	tetragonal

Cell lengths 7.506, 7.506, 3.475 Å; angles 90.00, 90.00, 90.00 degrees
Each line ends with the local moment (μB).
Positions (direct):
W (0.147, 0.647, 0.500)  -0.16
W (0.647, 0.853, 0.500)  -0.16
W (0.853, 0.353, 0.500)  -0.16
W (0.353, 0.147, 0.500)  -0.16
Zr (0.650, 0.150, 0.000)  0.03
Zr (0.150, 0.350, 0.000)  0.03
Zr (0.850, 0.650, 0.000)  0.03
Zr (0.350, 0.850, 0.000)  0.03
V (0.000, 0.000, 0.000)  2.13
V (0.500, 0.500, 0.000)  2.13

No. 17
The following is a DFT calculation (PBE-GGA) of crystalline Ti3NbAs at its relaxed geometry.

Output
E_form	0.28	eV/atom
DOS(E_F)	0.66	states/eV/atom
crystal system	cubic

Cell lengths 4.644, 4.644, 4.644 Å; angles 90.00, 90.00, 90.00 degrees
Positions (direct):
Ti (0.000, 0.000, 0.500)
Ti (0.000, 0.500, 0.000)
Ti (0.500, 0.000, 0.000)
Nb (0.500, 0.500, 0.500)
As (0.000, 0.000, 0.000)

No. 18
The following is a DFT calculation (PBE-GGA) of crystalline Ta2ZnH at its relaxed geometry.

Output
E_tot	-28.13	eV/cell
DOS(E_F)	0.83	states/eV/atom
crystal system	trigonal

Cell lengths 2.926, 2.926, 7.532 Å; angles 78.80, 78.80, 60.00 degrees
Positions (direct):
Ta (0.060, 0.060, 0.819)
Ta (0.272, 0.272, 0.184)
H (0.668, 0.668, 0.997)
Zn (0.500, 0.500, 0.501)